Cs2VSnF6 PBE+U relaxed; space group = Fm-3m, No. 225; electronic total energy = -5.04 eV per atom
1.0
-4.390 4.656 0.893
-4.504 -4.475 1.196
-3.400 0.225 5.491
F Cs V Sn
6 2 1 1
direct
0.764 0.764 0.000
0.236 0.236 0.000
0.235 0.235 0.529
0.764 0.235 0.000
0.236 0.765 0.000
0.765 0.765 0.471
0.750 0.250 0.500
0.250 0.750 0.500
0.000 0.000 0.000
0.500 0.500 0.000